(1)
LuPuMg: relaxed, GGA-PBE.

Magnetic moment, μB per cell: 5.95
Density of states at the Fermi level, states/eV/atom: 2.97

Structure (POSCAR):
```
LuPuMg
1.0
-3.1527 0.6775 -0.8985
1.3846 -2.9316 -0.8331
-2.7489 -3.3267 7.1375
Pu Lu Mg
1 1 1
direct
0.6667 0.3333 0.3311
0.3333 0.6667 0.6708
0.0000 0.0000 0.9981
```



(2)
LuPuMg: relaxed, GGA-PBE.

Magnetic moment, μB per cell: 6.06
Density of states at the Fermi level, states/eV/atom: 2.83

Structure (POSCAR):
```
LuPuMg
1.0
3.3016 0.0000 0.0000
0.0000 3.3016 0.0000
-1.6508 -1.6508 7.3512
Lu Mg Pu
1 1 1
direct
0.0028 0.0028 0.0056
0.6656 0.6656 0.3311
0.3316 0.3316 0.6632
```



Most stable one: (2), least stable one: (1).



(1)
Lu2MgS4: relaxed, GGA-PBE.

Magnetic moment, μB per cell: 0.00
Density of states at the Fermi level, states/eV/atom: 0.00

Structure (POSCAR):
```
Lu2MgS4
1.0
7.2626 -0.1101 -0.0261
-0.1288 8.5928 0.0628
-1.2557 -2.0548 11.2656
S Lu Mg
16 8 4
direct
0.1587 0.7646 0.6006
0.5863 0.9435 0.1313
0.1075 0.6534 0.1207
0.4027 0.6045 0.8918
0.6956 0.5384 0.6030
0.2976 0.9913 0.3958
0.4138 0.0565 0.8687
0.2044 0.2811 0.6383
0.5973 0.3955 0.1082
0.7024 0.0087 0.6042
0.3044 0.4616 0.3970
0.1094 0.1603 0.1003
0.8925 0.3466 0.8793
0.8413 0.2354 0.3994
0.7956 0.7189 0.3617
0.8906 0.8397 0.8997
0.1397 0.7087 0.3463
0.2516 0.8770 0.0026
0.8603 0.2913 0.6537
0.6325 0.4506 0.3345
0.3675 0.5494 0.6655
0.3603 0.0236 0.6460
0.7484 0.1230 0.9974
0.6397 0.9764 0.3540
0.7570 0.5973 0.9882
0.2430 0.4027 0.0118
0.8629 0.7929 0.6888
0.1371 0.2071 0.3112
```



(2)
Lu2MgS4: relaxed, GGA-PBE.

Magnetic moment, μB per cell: 0.00
Density of states at the Fermi level, states/eV/atom: 0.00

Structure (POSCAR):
```
Lu2MgS4
1.0
-1.0718 5.9612 2.2399
-7.2989 -0.3737 -2.4980
-3.7304 -5.0499 11.6550
S Lu Mg
16 8 4
direct
0.2913 0.2500 0.0902
0.2474 0.7500 0.0719
0.2087 0.2500 0.5902
0.7670 0.4951 0.6707
0.2526 0.7500 0.5719
0.2330 0.9951 0.3293
0.2330 0.5049 0.3293
0.7526 0.2500 0.9281
0.2670 0.5049 0.8293
0.7087 0.7500 0.9098
0.7330 0.4951 0.1707
0.7913 0.7500 0.4098
0.2670 0.9951 0.8293
0.7474 0.2500 0.4281
0.7670 0.0049 0.6707
0.7330 0.0049 0.1707
0.5000 0.0000 0.0000
0.5000 0.5000 0.0000
0.4947 0.2500 0.2675
0.0000 0.0000 0.5000
0.5053 0.7500 0.7325
0.0000 0.5000 0.5000
0.9947 0.7500 0.2325
0.0053 0.2500 0.7675
0.4209 0.7500 0.4038
0.5791 0.2500 0.5962
0.0791 0.7500 0.9038
0.9209 0.2500 0.0962
```



(3)
Lu2MgS4: relaxed, GGA-PBE.

Magnetic moment, μB per cell: 0.00
Density of states at the Fermi level, states/eV/atom: 0.00

Structure (POSCAR):
```
Lu2MgS4
1.0
3.7804 0.0000 0.0000
0.0000 12.4254 0.0000
0.0000 0.0000 13.1415
S Lu Mg
16 8 4
direct
0.7500 0.7584 0.4830
0.7500 0.7757 0.7500
0.2500 0.5284 0.6172
0.2500 0.4880 0.1172
0.2500 0.0284 0.8828
0.2500 0.9880 0.3828
0.7500 0.0120 0.6172
0.2500 0.7416 0.9830
0.7500 0.2757 0.7500
0.2500 0.2243 0.2500
0.2500 0.7243 0.2500
0.7500 0.9716 0.1172
0.2500 0.2416 0.5170
0.7500 0.4716 0.3828
0.7500 0.2584 0.0170
0.7500 0.5120 0.8828
0.2500 0.1155 0.0763
0.7500 0.3593 0.2041
0.2500 0.6407 0.7959
0.7500 0.8845 0.9237
0.2500 0.6155 0.4237
0.7500 0.8593 0.2959
0.7500 0.3845 0.5763
0.2500 0.1407 0.7041
0.2500 0.3856 0.9483
0.2500 0.8856 0.5517
0.7500 0.1144 0.4483
0.7500 0.6144 0.0517
```



(4)
Lu2MgS4: relaxed, GGA-PBE.

Magnetic moment, μB per cell: 0.00
Density of states at the Fermi level, states/eV/atom: 0.00

Structure (POSCAR):
```
Lu2MgS4
1.0
7.2789 0.0000 0.0000
0.0000 7.7514 0.0000
0.0000 0.0000 11.2103
S Lu Mg
16 8 4
direct
0.7500 0.2346 0.1084
0.0030 0.3814 0.3404
0.9970 0.1186 0.8404
0.0030 0.8814 0.1596
0.4970 0.8814 0.1596
0.2500 0.8834 0.4585
0.2500 0.2654 0.6084
0.7500 0.6166 0.9585
0.2500 0.7654 0.8916
0.4970 0.3814 0.3404
0.2500 0.3834 0.0415
0.9970 0.6186 0.6596
0.7500 0.7346 0.3916
0.5030 0.1186 0.8404
0.5030 0.6186 0.6596
0.7500 0.1166 0.5415
0.7500 0.0518 0.3077
0.2500 0.4482 0.8077
0.2500 0.5598 0.4860
0.7500 0.9402 0.9860
0.7500 0.4402 0.5140
0.7500 0.5518 0.1923
0.2500 0.9482 0.6923
0.2500 0.0598 0.0140
0.7500 0.8274 0.6028
0.2500 0.1726 0.3972
0.2500 0.6726 0.1028
0.7500 0.3274 0.8972
```



Most stable one: (2), least stable one: (4).



(1)
Lu2MgS4: relaxed, GGA-PBE.

Magnetic moment, μB per cell: 0.00
Density of states at the Fermi level, states/eV/atom: 0.00

Structure (POSCAR):
```
Lu2MgS4
1.0
7.7741 0.0000 0.0000
3.8871 6.7326 0.0000
3.8871 2.2442 6.3476
Lu S Mg
4 8 2
direct
0.6250 0.1250 0.1250
0.1250 0.1250 0.6250
0.1250 0.1250 0.1250
0.1250 0.6250 0.1250
0.8810 0.8810 0.8810
0.3690 0.8929 0.3690
0.3690 0.3690 0.3690
0.3571 0.8810 0.8810
0.8810 0.8810 0.3571
0.8810 0.3571 0.8810
0.3690 0.3690 0.8929
0.8929 0.3690 0.3690
0.5000 0.5000 0.5000
0.7500 0.7500 0.7500
```



(2)
Lu2MgS4: relaxed, GGA-PBE.

Magnetic moment, μB per cell: 0.00
Density of states at the Fermi level, states/eV/atom: 0.00

Structure (POSCAR):
```
Lu2MgS4
1.0
-4.5061 4.5061 3.9464
4.5061 -4.5061 3.9464
4.5061 4.5061 -3.9464
Mg Lu S
2 4 8
direct
0.0000 0.0000 0.0000
0.7500 0.2500 0.5000
0.3750 0.3998 0.5248
0.8750 0.8502 0.4752
0.1498 0.6250 0.0248
0.6002 0.1250 0.9752
0.5948 0.8879 0.1955
0.1493 0.9424 0.3045
0.0576 0.3621 0.2069
0.6924 0.3993 0.8045
0.6007 0.4052 0.2931
0.1121 0.3076 0.7069
0.1552 0.8507 0.7931
0.6379 0.8448 0.6955
```



Most stable one: (1), least stable one: (2).